{
  "formula": "Pm7Nd2Y3",
  "functional": "GGA-PBE",
  "state": "relaxed",
  "cell": [[3.7206, 0.0000, 0.0000], [0.0000, 5.6685, 0.0000], [-1.8897, 0.0000, 20.6992]],
  "species": ["Pm", "Pm", "Pm", "Pm", "Pm", "Pm", "Pm", "Nd", "Nd", "Y", "Y", "Y"],
  "fractional_positions": [[0.0000, 0.0000, 0.0000], [0.0687, 0.5000, 0.1334], [0.2847, 0.5000, 0.5683], [0.4120, 0.0000, 0.8286], [0.5880, 0.0000, 0.1714], [0.7153, 0.5000, 0.4317], [0.9313, 0.5000, 0.8666], [0.3580, 0.5000, 0.7225], [0.6420, 0.5000, 0.2775], [0.1741, 0.0000, 0.3430], [0.5000, 0.5000, 0.0000], [0.8259, 0.0000, 0.6570]],
  "magmom_total_mub_per_fu": 0.00,
  "polymorph_energy_ev_per_fu": 1.73,
  "space_group": "No. 10",
  "formation_enthalpy_0k_mev_per_atom": 225
}